## a
This record from Alexandria describes crystalline KLiAlO at its relaxed geometry. The functional is PBE.

```
data_KLiAlO
_chemical_formula_sum 'K2 Li2 Al2 O2'
_cell_length_a 13.229
_cell_length_b 2.990
_cell_length_c 4.881
_cell_angle_alpha 90.00
_cell_angle_beta 110.81
_cell_angle_gamma 90.00
_space_group_name_H-M_alt 'C 1 m 1'
_space_group_IT_number 8
loop_
_space_group_symop_operation_xyz
'x,y,z'
'x,-y,z'
'x+1/2,y+1/2,z'
'x+1/2,-y+1/2,z'
loop_
_atom_site_label
_atom_site_fract_x
_atom_site_fract_y
_atom_site_fract_z
K1 0.000 0.000 0.000
Li1 0.237 0.000 0.644
Al1 0.283 0.500 0.196
O1 0.333 0.000 0.057
```



## b
This record from Alexandria describes crystalline KLiAlO at its relaxed geometry. The functional is PBE.

```
data_KLiAlO
_chemical_formula_sum 'K2 Li2 Al2 O2'
_cell_length_a 3.195
_cell_length_b 4.079
_cell_length_c 12.207
_cell_angle_alpha 90.00
_cell_angle_beta 90.00
_cell_angle_gamma 90.00
_space_group_name_H-M_alt 'I m m 2'
_space_group_IT_number 44
loop_
_space_group_symop_operation_xyz
'x,y,z'
'-x,-y,z'
'-x,y,z'
'x,-y,z'
'x+1/2,y+1/2,z+1/2'
'-x+1/2,-y+1/2,z+1/2'
'-x+1/2,y+1/2,z+1/2'
'x+1/2,-y+1/2,z+1/2'
loop_
_atom_site_label
_atom_site_fract_x
_atom_site_fract_y
_atom_site_fract_z
K1 0.000 0.000 0.000
Li1 0.000 0.000 0.717
Al1 0.000 0.000 0.286
O1 0.000 0.500 0.697
```



## c
This record from Alexandria describes crystalline KLiAlO at its relaxed geometry. The functional is PBE.

```
data_KLiAlO
_chemical_formula_sum 'K2 Li2 Al2 O2'
_cell_length_a 3.902
_cell_length_b 3.902
_cell_length_c 10.569
_cell_angle_alpha 90.00
_cell_angle_beta 90.00
_cell_angle_gamma 90.00
_space_group_name_H-M_alt 'I 4 m m'
_space_group_IT_number 107
_space_group_name_Hall 'I 4 -2'
loop_
_atom_site_label
_atom_site_fract_x
_atom_site_fract_y
_atom_site_fract_z
K1 0.000 0.000 0.000
Li1 0.000 0.000 0.660
Al1 0.000 0.000 0.318
O1 0.000 0.000 0.482
```



## d
This record from Alexandria describes crystalline KLiAlO at its relaxed geometry. The functional is PBE.

```
data_KLiAlO
_chemical_formula_sum 'K1 Li1 Al1 O1'
_cell_length_a 3.091
_cell_length_b 5.179
_cell_length_c 5.498
_cell_angle_alpha 117.45
_cell_angle_beta 90.25
_cell_angle_gamma 90.00
_space_group_name_H-M_alt 'P 1'
_space_group_IT_number 1
loop_
_space_group_symop_operation_xyz
'x,y,z'
loop_
_atom_site_label
_atom_site_fract_x
_atom_site_fract_y
_atom_site_fract_z
K1 0.000 0.000 0.000
Li1 0.991 0.377 0.749
Al1 0.498 0.671 0.351
O1 0.493 0.494 0.990
```



We find c to be the most stable, with the next structure 18 meV/atom higher.



## a
This record from Alexandria describes crystalline KMgAl3 at its relaxed geometry. The functional is PBE.

```
data_KMgAl3
_chemical_formula_sum 'K1 Mg1 Al3'
_cell_length_a 5.682
_cell_length_b 5.682
_cell_length_c 5.682
_cell_angle_alpha 90.00
_cell_angle_beta 90.00
_cell_angle_gamma 90.00
_space_group_name_H-M_alt 'P m -3 m'
_space_group_IT_number 221
_space_group_name_Hall '-P 4 2 3'
loop_
_atom_site_label
_atom_site_fract_x
_atom_site_fract_y
_atom_site_fract_z
K1 0.000 0.000 0.000
Mg1 0.500 0.500 0.500
Al1 0.000 0.000 0.500
```



## b
This record from Alexandria describes crystalline KMgAl3 at its relaxed geometry. The functional is PBE.

```
data_KMgAl3
_chemical_formula_sum 'K1 Mg1 Al3'
_cell_length_a 5.338
_cell_length_b 5.338
_cell_length_c 5.338
_cell_angle_alpha 90.00
_cell_angle_beta 90.00
_cell_angle_gamma 90.00
_space_group_name_H-M_alt 'P m -3 m'
_space_group_IT_number 221
_space_group_name_Hall '-P 4 2 3'
loop_
_atom_site_label
_atom_site_fract_x
_atom_site_fract_y
_atom_site_fract_z
K1 0.000 0.000 0.000
Mg1 0.500 0.500 0.500
Al1 0.000 0.500 0.500
```



We find b to be the most stable, with the next structure 849 meV/atom higher.



## a
This record from Alexandria describes crystalline KMgAlRh at its relaxed geometry. The functional is PBE.

```
data_KMgAlRh
_chemical_formula_sum 'K2 Mg2 Al2 Rh2'
_cell_length_a 7.422
_cell_length_b 4.250
_cell_length_c 7.370
_cell_angle_alpha 90.00
_cell_angle_beta 109.47
_cell_angle_gamma 90.00
_space_group_name_H-M_alt 'C 1 m 1'
_space_group_IT_number 8
loop_
_space_group_symop_operation_xyz
'x,y,z'
'x,-y,z'
'x+1/2,y+1/2,z'
'x+1/2,-y+1/2,z'
loop_
_atom_site_label
_atom_site_fract_x
_atom_site_fract_y
_atom_site_fract_z
K1 0.000 0.000 0.000
Mg1 0.038 0.500 0.611
Al1 0.302 0.500 0.401
Rh1 0.159 0.000 0.472
```



## b
This record from Alexandria describes crystalline KMgAlRh at its relaxed geometry. The functional is PBE.

```
data_KMgAlRh
_chemical_formula_sum 'K1 Mg1 Al1 Rh1'
_cell_length_a 3.079
_cell_length_b 3.723
_cell_length_c 8.508
_cell_angle_alpha 89.93
_cell_angle_beta 89.72
_cell_angle_gamma 90.00
_space_group_name_H-M_alt 'P 1'
_space_group_IT_number 1
loop_
_space_group_symop_operation_xyz
'x,y,z'
loop_
_atom_site_label
_atom_site_fract_x
_atom_site_fract_y
_atom_site_fract_z
K1 0.000 0.000 0.000
Mg1 0.499 0.498 0.365
Al1 0.995 0.997 0.611
Rh1 0.494 0.497 0.676
```



We find b to be the most stable, with the next structure 25 meV/atom higher.



## a
This record from Alexandria describes crystalline KMgAlRh at its relaxed geometry. The functional is PBE.

```
data_KMgAlRh
_chemical_formula_sum 'K2 Mg2 Al2 Rh2'
_cell_length_a 4.104
_cell_length_b 4.559
_cell_length_c 12.678
_cell_angle_alpha 90.00
_cell_angle_beta 90.00
_cell_angle_gamma 90.00
_space_group_name_H-M_alt 'I m m 2'
_space_group_IT_number 44
loop_
_space_group_symop_operation_xyz
'x,y,z'
'-x,-y,z'
'-x,y,z'
'x,-y,z'
'x+1/2,y+1/2,z+1/2'
'-x+1/2,-y+1/2,z+1/2'
'-x+1/2,y+1/2,z+1/2'
'x+1/2,-y+1/2,z+1/2'
loop_
_atom_site_label
_atom_site_fract_x
_atom_site_fract_y
_atom_site_fract_z
K1 0.000 0.000 0.000
Mg1 0.000 0.500 0.255
Al1 0.000 0.500 0.756
Rh1 0.000 0.000 0.346
```



## b
This record from Alexandria describes crystalline KMgAlRh at its relaxed geometry. The functional is PBE.

```
data_KMgAlRh
_chemical_formula_sum 'K2 Mg2 Al2 Rh2'
_cell_length_a 15.419
_cell_length_b 4.433
_cell_length_c 3.076
_cell_angle_alpha 90.00
_cell_angle_beta 100.74
_cell_angle_gamma 90.00
_space_group_name_H-M_alt 'C 1 m 1'
_space_group_IT_number 8
loop_
_space_group_symop_operation_xyz
'x,y,z'
'x,-y,z'
'x+1/2,y+1/2,z'
'x+1/2,-y+1/2,z'
loop_
_atom_site_label
_atom_site_fract_x
_atom_site_fract_y
_atom_site_fract_z
K1 0.000 0.000 0.000
Mg1 0.196 0.500 0.215
Al1 0.332 0.000 0.341
Rh1 0.209 0.000 0.725
```



## c
This record from Alexandria describes crystalline KMgAlRh at its relaxed geometry. The functional is PBE.

```
data_KMgAlRh
_chemical_formula_sum 'K1 Mg1 Al1 Rh1'
_cell_length_a 3.126
_cell_length_b 3.126
_cell_length_c 9.150
_cell_angle_alpha 90.00
_cell_angle_beta 90.00
_cell_angle_gamma 90.00
_space_group_name_H-M_alt 'P 4 m m'
_space_group_IT_number 99
loop_
_space_group_symop_operation_xyz
'x,y,z'
'-y,x,z'
'-x,-y,z'
'y,-x,z'
'-x,y,z'
'y,x,z'
'x,-y,z'
'-y,-x,z'
loop_
_atom_site_label
_atom_site_fract_x
_atom_site_fract_y
_atom_site_fract_z
K1 0.000 0.000 0.000
Mg1 0.500 0.500 0.365
Al1 0.500 0.500 0.690
Rh1 0.000 0.000 0.548
```



We find c to be the most stable, with the next structure 102 meV/atom higher.



## a
This record from Alexandria describes crystalline KMgAlRh at its relaxed geometry. The functional is PBE.

```
data_KMgAlRh
_chemical_formula_sum 'K2 Mg2 Al2 Rh2'
_cell_length_a 11.109
_cell_length_b 4.759
_cell_length_c 4.499
_cell_angle_alpha 90.00
_cell_angle_beta 110.95
_cell_angle_gamma 90.00
_space_group_name_H-M_alt 'C 1 m 1'
_space_group_IT_number 8
loop_
_space_group_symop_operation_xyz
'x,y,z'
'x,-y,z'
'x+1/2,y+1/2,z'
'x+1/2,-y+1/2,z'
loop_
_atom_site_label
_atom_site_fract_x
_atom_site_fract_y
_atom_site_fract_z
K1 0.000 0.000 0.000
Mg1 0.330 0.000 0.359
Al1 0.166 0.500 0.656
Rh1 0.238 0.500 0.223
```



## b
This record from Alexandria describes crystalline KMgAlRh at its relaxed geometry. The functional is PBE.

```
data_KMgAlRh
_chemical_formula_sum 'K2 Mg2 Al2 Rh2'
_cell_length_a 7.408
_cell_length_b 4.255
_cell_length_c 7.228
_cell_angle_alpha 90.00
_cell_angle_beta 109.91
_cell_angle_gamma 90.00
_space_group_name_H-M_alt 'C 1 m 1'
_space_group_IT_number 8
loop_
_space_group_symop_operation_xyz
'x,y,z'
'x,-y,z'
'x+1/2,y+1/2,z'
'x+1/2,-y+1/2,z'
loop_
_atom_site_label
_atom_site_fract_x
_atom_site_fract_y
_atom_site_fract_z
K1 0.000 0.000 0.000
Mg1 0.194 0.000 0.580
Al1 0.292 0.500 0.371
Rh1 0.473 0.000 0.417
```



## c
This record from Alexandria describes crystalline KMgAlRh at its relaxed geometry. The functional is PBE.

```
data_KMgAlRh
_chemical_formula_sum 'K1 Mg1 Al1 Rh1'
_cell_length_a 3.016
_cell_length_b 3.996
_cell_length_c 8.787
_cell_angle_alpha 103.05
_cell_angle_beta 99.81
_cell_angle_gamma 90.03
_space_group_name_H-M_alt 'P 1'
_space_group_IT_number 1
loop_
_space_group_symop_operation_xyz
'x,y,z'
loop_
_atom_site_label
_atom_site_fract_x
_atom_site_fract_y
_atom_site_fract_z
K1 0.000 0.000 0.000
Mg1 0.300 0.317 0.634
Al1 0.162 0.676 0.354
Rh1 0.670 0.184 0.369
```



We find c to be the most stable, with the next structure 51 meV/atom higher.



## a
This record from Alexandria describes crystalline KMnAl2 at its relaxed geometry. The functional is PBE.

```
data_KMnAl2
_chemical_formula_sum 'K1 Mn1 Al2'
_cell_length_a 3.150
_cell_length_b 3.150
_cell_length_c 8.506
_cell_angle_alpha 90.00
_cell_angle_beta 90.00
_cell_angle_gamma 90.00
_space_group_name_H-M_alt 'P 4/m m m'
_space_group_IT_number 123
_space_group_name_Hall '-P 4 2'
loop_
_atom_site_label
_atom_site_fract_x
_atom_site_fract_y
_atom_site_fract_z
K1 0.000 0.000 0.000
Mn1 0.000 0.000 0.500
Al1 0.500 0.500 0.334
```



## b
This record from Alexandria describes crystalline KMnAl2 at its relaxed geometry. The functional is PBE.

```
data_KMnAl2
_chemical_formula_sum 'K2 Mn2 Al4'
_cell_length_a 9.121
_cell_length_b 2.879
_cell_length_c 7.330
_cell_angle_alpha 90.00
_cell_angle_beta 95.72
_cell_angle_gamma 90.00
_space_group_name_H-M_alt 'C 1 m 1'
_space_group_IT_number 8
loop_
_space_group_symop_operation_xyz
'x,y,z'
'x,-y,z'
'x+1/2,y+1/2,z'
'x+1/2,-y+1/2,z'
loop_
_atom_site_label
_atom_site_fract_x
_atom_site_fract_y
_atom_site_fract_z
K1 0.000 0.000 0.000
Mn1 0.226 0.000 0.629
Al1 0.265 0.500 0.345
Al2 0.498 0.000 0.542
```



We find a to be the most stable, with the next structure 204 meV/atom higher.